Below is a relaxed structure of RbSiMo, with properties calculated at the PBE level.

Computed properties:
M_tot (μB per cell): 0.00
E_form (uncorrected) (eV per atom): 0.229
Energy above the most stable polymorph in this dataset (eV per formula unit): 0.30

Cell: 3.1761 4.1681 12.9373 Å, 90.28 96.81 90.00°
Fractional coordinates of all 6 atoms:
Mo1 0.6203 0.0812 0.1702
Mo2 0.6779 0.5831 0.2896
Si1 0.2008 0.0839 0.3359
Si2 0.0993 0.5805 0.1261
Rb1 0.8138 0.5878 0.5547
Rb2 0.9793 0.0765 0.8993